The following is a DFT calculation (PBE) of a relaxed RbPHO2 crystal.

a = 4.571 Å, b = 4.571 Å, c = 3.147 Å
α = 90.00°, β = 90.00°, γ = 90.00°
Atoms (fractional coordinates):
P1 0.000 0.000 0.500
O1 0.000 0.500 0.000
O2 0.500 0.000 0.000
Rb1 0.500 0.500 0.500
H1 0.000 0.000 0.000

=====

The following is a DFT calculation (PBE) of a relaxed RbPHO2 crystal.

a = 5.504 Å, b = 5.504 Å, c = 7.461 Å
α = 90.00°, β = 90.00°, γ = 90.00°
Atoms (fractional coordinates):
P1 0.000 0.000 0.500
O1 0.000 0.500 0.000
O2 0.500 0.000 0.000
Rb1 0.000 0.000 0.000
H1 0.500 0.500 0.500

=====

The following is a DFT calculation (PBE) of a relaxed Rb2PH3SeO8 crystal.

a = 7.797 Å, b = 7.679 Å, c = 10.041 Å
α = 51.02°, β = 90.00°, γ = 90.00°
Atoms (fractional coordinates):
Rb1 0.564 0.376 0.546
Rb2 0.944 0.590 0.122
Rb3 0.436 0.376 0.046
Rb4 0.056 0.590 0.622
P1 0.050 0.142 0.582
P2 0.950 0.142 0.082
H1 0.236 0.016 0.801
H2 0.837 0.888 0.712
H3 0.266 0.109 0.450
H4 0.764 0.016 0.301
H5 0.163 0.888 0.212
H6 0.734 0.109 0.950
Se1 0.441 0.844 0.075
Se2 0.559 0.844 0.575
O1 0.579 0.634 0.165
O2 0.925 0.331 0.502
O3 0.201 0.160 0.678
O4 0.285 0.812 0.975
O5 0.137 0.144 0.438
O6 0.970 0.901 0.719
O7 0.461 0.093 0.433
O8 0.650 0.843 0.728
O9 0.799 0.160 0.178
O10 0.715 0.812 0.475
O11 0.421 0.634 0.665
O12 0.075 0.331 0.002
O13 0.030 0.901 0.219
O14 0.350 0.843 0.228
O15 0.863 0.144 0.938
O16 0.539 0.093 0.933

=====

The following is a DFT calculation (PBE) of a relaxed Rb2PH3SeO8 crystal.

a = 7.726 Å, b = 7.872 Å, c = 7.804 Å
α = 90.63°, β = 89.70°, γ = 80.63°
Atoms (fractional coordinates):
Rb1 0.093 0.795 0.188
Rb2 0.384 0.710 0.695
Rb3 0.616 0.290 0.305
Rb4 0.907 0.205 0.812
P1 0.092 0.259 0.307
P2 0.908 0.741 0.693
H1 0.000 0.500 0.500
H2 0.258 0.115 0.510
H3 0.223 0.381 0.097
H4 0.500 0.000 0.000
H5 0.777 0.619 0.903
H6 0.742 0.885 0.490
Se1 0.402 0.242 0.804
Se2 0.598 0.758 0.196
O1 0.013 0.646 0.540
O2 0.016 0.817 0.824
O3 0.230 0.106 0.384
O4 0.204 0.392 0.227
O5 0.298 0.096 0.710
O6 0.257 0.395 0.899
O7 0.535 0.140 0.961
O8 0.529 0.329 0.671
O9 0.471 0.671 0.329
O10 0.465 0.860 0.039
O11 0.743 0.605 0.101
O12 0.702 0.904 0.290
O13 0.796 0.608 0.773
O14 0.770 0.894 0.616
O15 0.984 0.183 0.176
O16 0.987 0.354 0.460

=====

The following is a DFT calculation (PBE) of a relaxed RbSrP3H6O12 crystal.

a = 8.234 Å, b = 9.277 Å, c = 15.504 Å
α = 90.00°, β = 90.00°, γ = 90.00°
Atoms (fractional coordinates):
Rb1 0.750 0.095 0.693
Rb2 0.750 0.595 0.807
Rb3 0.250 0.905 0.307
Rb4 0.250 0.405 0.193
Sr1 0.750 0.909 0.022
Sr2 0.750 0.409 0.478
Sr3 0.250 0.091 0.978
Sr4 0.250 0.591 0.522
P1 0.750 0.510 0.066
P2 0.750 0.010 0.434
P3 0.250 0.490 0.934
P4 0.250 0.990 0.566
P5 0.575 0.679 0.193
P6 0.925 0.179 0.307
P7 0.075 0.321 0.807
P8 0.425 0.821 0.693
P9 0.425 0.321 0.807
P10 0.075 0.821 0.693
P11 0.925 0.679 0.193
P12 0.575 0.179 0.307
H1 0.511 0.626 0.369
H2 0.989 0.126 0.131
H3 0.011 0.374 0.631
H4 0.489 0.874 0.869
H5 0.489 0.374 0.631
H6 0.011 0.874 0.869
H7 0.989 0.626 0.369
H8 0.511 0.126 0.131
H9 0.599 0.716 0.442
H10 0.901 0.216 0.058
H11 0.099 0.284 0.558
H12 0.401 0.784 0.942
H13 0.401 0.284 0.558
H14 0.099 0.784 0.942
H15 0.901 0.716 0.442
H16 0.599 0.216 0.058
H17 0.651 0.638 0.614
H18 0.849 0.138 0.886
H19 0.151 0.362 0.386
H20 0.349 0.862 0.114
H21 0.349 0.362 0.386
H22 0.151 0.862 0.114
H23 0.849 0.638 0.614
H24 0.651 0.138 0.886
O1 0.750 0.688 0.241
O2 0.750 0.188 0.259
O3 0.250 0.312 0.759
O4 0.250 0.812 0.741
O5 0.553 0.808 0.135
O6 0.947 0.308 0.365
O7 0.053 0.192 0.865
O8 0.447 0.692 0.635
O9 0.447 0.192 0.865
O10 0.053 0.692 0.635
O11 0.947 0.808 0.135
O12 0.553 0.308 0.365
O13 0.050 0.647 0.260
O14 0.450 0.147 0.240
O15 0.550 0.353 0.740
O16 0.950 0.853 0.760
O17 0.950 0.353 0.740
O18 0.550 0.853 0.760
O19 0.450 0.647 0.260
O20 0.050 0.147 0.240
O21 0.597 0.535 0.133
O22 0.903 0.035 0.367
O23 0.097 0.465 0.867
O24 0.403 0.965 0.633
O25 0.403 0.465 0.867
O26 0.097 0.965 0.633
O27 0.903 0.535 0.133
O28 0.597 0.035 0.367
O29 0.750 0.127 0.501
O30 0.750 0.627 0.999
O31 0.250 0.873 0.499
O32 0.250 0.373 0.001
O33 0.750 0.855 0.459
O34 0.750 0.355 0.041
O35 0.250 0.145 0.541
O36 0.250 0.645 0.959
O37 0.537 0.626 0.432
O38 0.963 0.126 0.068
O39 0.037 0.374 0.568
O40 0.463 0.874 0.932
O41 0.463 0.374 0.568
O42 0.037 0.874 0.932
O43 0.963 0.626 0.432
O44 0.537 0.126 0.068
O45 0.750 0.579 0.605
O46 0.750 0.079 0.895
O47 0.250 0.421 0.395
O48 0.250 0.921 0.105

=====

The following is a DFT calculation (PBE) of a relaxed PHRhO2 crystal.

a = 3.933 Å, b = 3.933 Å, c = 2.980 Å
α = 90.00°, β = 90.00°, γ = 90.00°
Atoms (fractional coordinates):
P1 0.000 0.000 0.500
Rh1 0.500 0.500 0.500
O1 0.000 0.500 0.000
O2 0.500 0.000 0.000
H1 0.000 0.000 0.000

=====

Number 1: uncorrected energy -3.493 eV/atom, magnetic moment 0.6 μB per formula unit. Number 2: uncorrected energy -2.419 eV/atom, magnetic moment 7.1 μB per formula unit. Number 3: uncorrected energy -5.549 eV/atom, magnetic moment 0.1 μB per formula unit. Number 4: uncorrected energy -5.545 eV/atom, magnetic moment 0.1 μB per formula unit. Number 5: uncorrected energy -6.181 eV/atom, magnetic moment 0.0 μB per formula unit. Number 6: uncorrected energy -4.591 eV/atom, magnetic moment 0.0 μB per formula unit.